DFT (PBE) results for a relaxed Sr2CoRh crystal.

## Properties
Energy relative to the elements: 0.451 eV per atom
Total magnetization: 1.69 Bohr magnetons per cell
Crystal system: tetragonal

Unit cell a=5.913 b=5.913 c=5.913 alpha=136.59 beta=136.59 gamma=63.06
Fractional positions:
Co  0.500  0.500  0.000
Rh  0.750  0.250  0.500
Sr  0.000  0.000  0.000
Sr  0.250  0.750  0.500

DFT (PBE) results for a relaxed SrCo3Rh crystal.

## Properties
Energy relative to the elements: 2.298 eV per atom
Total magnetization: 4.97 Bohr magnetons per cell
Crystal system: cubic

Unit cell a=4.545 b=4.545 c=4.545 alpha=90.00 beta=90.00 gamma=90.00
Fractional positions:
Sr  0.000  0.000  0.000
Rh  0.500  0.500  0.500
Co  0.000  0.500  0.000
Co  0.000  0.000  0.500
Co  0.500  0.000  0.000

DFT (PBE) results for a relaxed Sr2CoRh crystal.

## Properties
Energy relative to the elements: -0.015 eV per atom
Total magnetization: 1.25 Bohr magnetons per cell
Crystal system: orthorhombic

Unit cell a=4.275 b=4.661 c=5.905 alpha=66.75 beta=90.00 gamma=90.00
Fractional positions:
Co  0.000  0.669  0.538
Rh  0.500  0.581  0.713
Sr  0.000  0.983  0.910
Sr  0.500  0.268  0.339

DFT (PBE) results for a relaxed SrCoRh2 crystal.

## Properties
Energy relative to the elements: 0.317 eV per atom
Total magnetization: 2.98 Bohr magnetons per cell
Crystal system: orthorhombic

Unit cell a=5.518 b=5.518 c=5.518 alpha=148.00 beta=126.55 gamma=63.66
Fractional positions:
Co  0.250  0.750  0.500
Rh  0.038  0.038  0.000
Rh  0.462  0.462  0.000
Sr  0.750  0.250  0.500